1.
First-principles (PBE) data for Zr5Bi2Pb after structural relaxation, as listed in Alexandria via LeMat-Bulk.

```
Zr5Bi2Pb
1.0
5.041 0.000 0.000
0.000 6.263 0.000
0.000 0.000 12.002
Zr Pb Bi
10 2 4
Direct
0.500 0.340 0.604 Zr
0.000 0.636 0.761 Zr
0.500 0.840 0.896 Zr
0.000 0.364 0.239 Zr
0.000 0.000 0.500 Zr
0.000 0.136 0.739 Zr
0.500 0.160 0.104 Zr
0.500 0.660 0.396 Zr
0.000 0.864 0.261 Zr
0.000 0.500 0.000 Zr
0.000 0.000 0.000 Pb
0.000 0.500 0.500 Pb
0.500 0.145 0.357 Bi
0.500 0.855 0.643 Bi
0.500 0.645 0.143 Bi
0.500 0.355 0.857 Bi
```

Output
Crystal system   orthorhombic
Symmetry   Pbam
ΔE_f   -239 meV/atom
Raw total energy   -56.1 eV per formula unit

2.
First-principles (PBE) data for Mg2Zn after structural relaxation, as listed in Alexandria via LeMat-Bulk.

```
Mg2Zn
1.0
1.519 5.819 -0.028
-1.519 5.819 -0.028
0.000 1.889 6.724
Mg Zn
4 2
Direct
0.025 0.025 0.232 Mg
0.307 0.307 0.144 Mg
0.693 0.693 0.856 Mg
0.975 0.975 0.768 Mg
0.349 0.349 0.528 Zn
0.651 0.651 0.472 Zn
```

Output
Crystal system   monoclinic
Symmetry   C2/m
ΔE_f   -43 meV/atom
Raw total energy   -4.6 eV per formula unit

3.
First-principles (PBE) data for ZrTi3Fe after structural relaxation, as listed in Alexandria via LeMat-Bulk.

```
ZrTi3Fe
1.0
-0.795 -5.158 -0.788
3.101 0.343 -5.367
3.036 -1.273 5.262
Fe Ti Zr
2 6 2
Direct
0.500 0.000 0.000 Fe
0.000 0.000 0.000 Fe
0.750 0.636 0.818 Ti
0.250 0.364 0.182 Ti
0.750 0.182 0.818 Ti
0.250 0.818 0.182 Ti
0.250 0.818 0.636 Ti
0.750 0.182 0.364 Ti
0.250 0.333 0.666 Zr
0.750 0.667 0.334 Zr
```

Output
Crystal system   hexagonal
Symmetry   P6_3/mmc
ΔE_f   57 meV/atom
Raw total energy   -40.4 eV per formula unit

4.
First-principles (PBE) data for MnSi2N after structural relaxation, as listed in Alexandria via LeMat-Bulk.

```
MnSi2N
1.0
-2.721 2.412 1.170
-1.597 -0.802 -2.059
-1.770 -7.559 4.318
Mn Si N
2 4 2
Direct
0.170 0.500 0.294 Mn
0.170 0.000 0.794 Mn
0.919 0.500 0.003 Si
0.594 0.000 0.194 Si
0.594 0.500 0.694 Si
0.919 0.000 0.503 Si
0.597 0.000 0.990 N
0.597 0.500 0.490 N
```

Output
Crystal system   monoclinic
Symmetry   Cm
Formation energy without anion corrections   -0.17 eV/atom
Raw total energy   -29.0 eV per formula unit

5.
First-principles (PBE) data for CaBi4Pb after structural relaxation, as listed in Alexandria via LeMat-Bulk.

```
CaBi4Pb
1.0
5.588 -0.002 0.001
0.002 6.375 2.311
-0.001 -0.305 10.788
Bi Ca Pb
8 2 2
Direct
0.750 0.706 0.593 Bi
0.250 0.959 0.087 Bi
0.250 0.294 0.407 Bi
0.250 0.799 0.407 Bi
0.750 0.547 0.913 Bi
0.250 0.453 0.087 Bi
0.750 0.041 0.913 Bi
0.750 0.201 0.593 Bi
0.250 0.374 0.752 Ca
0.750 0.626 0.248 Ca
0.250 0.881 0.737 Pb
0.750 0.119 0.263 Pb
```

Output
Crystal system   orthorhombic
Symmetry   Cmcm
ΔE_f   -206 meV/atom
Raw total energy   -22.5 eV per formula unit

6.
First-principles (PBE) data for TbHo2PuS4 after structural relaxation, as listed in Alexandria via LeMat-Bulk.

```
TbHo2PuS4
1.0
-3.252 -0.182 2.140
0.798 -6.702 0.642
3.187 3.126 5.109
S Ho Tb Pu
4 2 1 1
Direct
0.000 0.247 0.745 S
0.500 0.749 0.745 S
0.000 0.753 0.255 S
0.500 0.251 0.255 S
0.000 0.500 0.500 Ho
0.500 0.000 0.500 Ho
0.000 0.000 0.000 Tb
0.500 0.500 0.000 Pu
```

Output
Crystal system   monoclinic
Symmetry   P2/m
Formation energy without anion corrections   -1.96 eV/atom
Raw total energy   -60.3 eV per formula unit

7.
First-principles (PBE) data for Tc2Rh2Au after structural relaxation, as listed in Alexandria via LeMat-Bulk.

```
Tc2Rh2Au
1.0
7.560 0.000 0.000
0.000 7.560 0.000
0.000 0.000 2.754
Tc Rh Au
4 4 2
Direct
0.618 0.118 0.000 Tc
0.382 0.882 0.000 Tc
0.882 0.618 0.000 Tc
0.118 0.382 0.000 Tc
0.829 0.329 0.500 Rh
0.671 0.829 0.500 Rh
0.329 0.171 0.500 Rh
0.171 0.671 0.500 Rh
0.500 0.500 0.000 Au
0.000 0.000 0.000 Au
```

Output
Crystal system   tetragonal
Symmetry   P4/mbm
ΔE_f   175 meV/atom
Raw total energy   -37.8 eV per formula unit

8.
First-principles (PBE) data for Hf3TiCo8 after structural relaxation, as listed in Alexandria via LeMat-Bulk.

```
Hf3TiCo8
1.0
4.619 0.000 1.394
2.099 4.114 1.394
-0.005 -0.003 8.365
Co Ti Hf
8 1 3
Direct
0.439 0.938 0.685 Co
0.188 0.188 0.437 Co
0.437 0.937 0.189 Co
0.938 0.439 0.685 Co
0.937 0.437 0.189 Co
0.437 0.437 0.189 Co
0.938 0.938 0.685 Co
0.688 0.688 0.937 Co
0.874 0.874 0.379 Ti
0.503 0.503 0.491 Hf
0.376 0.376 0.872 Hf
0.996 0.996 0.011 Hf
```

Output
Crystal system   trigonal
Symmetry   R3m
ΔE_f   -356 meV/atom
Raw total energy   -98.9 eV per formula unit